Computed, not measured: a relaxed Rb2HS2O6 crystal at the PBE level of DFT.

Output
Density = 2.554 g cm⁻³
Calculated volume = 215.9 Å³/cell
SG = C2/m, No. 12
Raw total energy = -5.2251 eV per atom
Crystal system = monoclinic

Unit cell a=6.0509 b=6.4061 c=7.0400 alpha=112.85 beta=90.00 gamma=118.18
Fractional coordinates of all 11 atoms:
Rb1 0.7032 0.4065 0.2265
H1 0.5000 0.0000 0.5000
Rb2 0.2968 0.5935 0.7735
O1 0.8588 0.7176 0.6928
S1 0.0002 0.0005 0.1559
S2 0.9998 0.9995 0.8441
O2 0.2740 0.1390 0.8414
O3 0.7260 0.8610 0.1586
O4 0.1349 0.8610 0.1586
O5 0.1412 0.2824 0.3072
O6 0.8651 0.1390 0.8414